# 1
LuSbPt | OQMD via LeMat-Bulk | PBE | optimized geometry; calculated total energy = -69.2 eV per cell
1.0
2.1858 -5.6731 0.0000
2.1858 5.6731 0.0000
0.0000 0.0000 10.9580
Sb Lu Pt
4 4 4
Direct
0.0414 0.9586 0.3699 Sb
0.5414 0.4586 0.1301 Sb
0.4586 0.5414 0.8699 Sb
0.9586 0.0414 0.6301 Sb
0.1624 0.8376 0.8954 Lu
0.8376 0.1624 0.1046 Lu
0.3376 0.6624 0.3954 Lu
0.6624 0.3376 0.6046 Lu
0.3139 0.6861 0.6573 Pt
0.6861 0.3139 0.3427 Pt
0.1861 0.8139 0.1573 Pt
0.8139 0.1861 0.8427 Pt



# 2
HoBeW | OQMD via LeMat-Bulk | PBE | optimized geometry; calculated total energy = -19.0 eV per cell; energy above the most stable polymorph in this dataset = 0.000 eV per atom
1.0
0.0000 3.0231 3.0231
3.0231 0.0000 3.0231
3.0231 3.0231 0.0000
W Ho Be
1 1 1
Direct
0.7500 0.7500 0.7500 W
0.2500 0.2500 0.2500 Ho
0.0000 0.0000 0.0000 Be



# 3
CsZrAuSe3 | OQMD via LeMat-Bulk | PBE | optimized geometry; calculated total energy = -116.1 eV per cell; energy above the most stable polymorph in this dataset = 0.067 eV per atom
1.0
-1.3902 -1.2820 14.4751
3.2084 -2.4240 0.0935
7.1199 9.4828 1.5236
Cs Se Zr Au
4 12 4 4
Direct
0.1592 0.7500 0.9949 Cs
0.8408 0.2500 0.0051 Cs
0.3408 0.2500 0.4949 Cs
0.6592 0.7500 0.5051 Cs
0.8087 0.7500 0.7570 Se
0.5258 0.2500 0.7256 Se
0.6090 0.7500 0.0053 Se
0.8910 0.2500 0.5053 Se
0.1090 0.7500 0.4947 Se
0.3087 0.7500 0.7430 Se
0.9742 0.7500 0.2256 Se
0.0258 0.2500 0.7744 Se
0.1913 0.2500 0.2430 Se
0.4742 0.7500 0.2744 Se
0.6913 0.2500 0.2570 Se
0.3910 0.2500 0.9947 Se
0.0407 0.2500 0.3629 Zr
0.4593 0.7500 0.8629 Zr
0.5407 0.2500 0.1371 Zr
0.9593 0.7500 0.6371 Zr
0.3040 0.7500 0.2469 Au
0.6960 0.2500 0.7531 Au
0.1960 0.2500 0.7469 Au
0.8040 0.7500 0.2531 Au



# 4
Er3Fe7Co2 | OQMD via LeMat-Bulk | PBE | optimized geometry; calculated total energy = -87.5 eV per cell
1.0
2.5033 1.4453 8.0908
-2.5033 1.4453 8.0908
0.0000 -2.8905 8.0908
Er Fe Co
3 7 2
Direct
0.1420 0.1420 0.1420 Er
0.8580 0.8580 0.8580 Er
0.0000 0.0000 0.0000 Er
0.5817 0.0823 0.5817 Fe
0.0823 0.5817 0.5817 Fe
0.4183 0.9177 0.4183 Fe
0.5817 0.5817 0.0823 Fe
0.5000 0.5000 0.5000 Fe
0.4183 0.4183 0.9177 Fe
0.9177 0.4183 0.4183 Fe
0.3326 0.3326 0.3326 Co
0.6674 0.6674 0.6674 Co



What is the formula in the second record? HoBeW



Repeat the second record exactly.
HoBeW | OQMD via LeMat-Bulk | PBE | optimized geometry; calculated total energy = -19.0 eV per cell; energy above the most stable polymorph in this dataset = 0.000 eV per atom
1.0
0.0000 3.0231 3.0231
3.0231 0.0000 3.0231
3.0231 3.0231 0.0000
W Ho Be
1 1 1
Direct
0.7500 0.7500 0.7500 W
0.2500 0.2500 0.2500 Ho
0.0000 0.0000 0.0000 Be



Please write out number 2 again, unchanged.
HoBeW | OQMD via LeMat-Bulk | PBE | optimized geometry; calculated total energy = -19.0 eV per cell; energy above the most stable polymorph in this dataset = 0.000 eV per atom
1.0
0.0000 3.0231 3.0231
3.0231 0.0000 3.0231
3.0231 3.0231 0.0000
W Ho Be
1 1 1
Direct
0.7500 0.7500 0.7500 W
0.2500 0.2500 0.2500 Ho
0.0000 0.0000 0.0000 Be



Which of these has the lowest calculated total energy? CsZrAuSe3